DFT (GGA-PBE) results for a relaxed structure of SrHgPCl2.

calculated total energy = -14.0 eV for the cell shown
ΔE to the lowest computed polymorph = 0.0000 eV per atom
D(E_F) = 0.022 states/eV/atom
ΔE_f (raw) = -586 meV/atom
magnetization = 0.602 μB per atom
V = 222 Å³ per cell

a b c (Å): 5.587 5.587 7.102
angles (deg): 90.00 90.00 90.00
Space group P4/mmm (No. 123)
Unique sites:
Sr1 0.000 0.000 0.000
Hg1 0.500 0.500 0.500
P1 0.000 0.000 0.500
Cl1 0.000 0.500 0.000